PBE-GGA Ca2GaPt, optimized geometry; offset from the most stable computed form = 123.4 meV/atom; E_form = -0.616 eV/atom; Fermi-level density of states = 0.620 states/eV per atom; size of the total moment = 0.00 μB/f.u.; crystal system = cubic; space-group type = Fm-3m
1.0
0.000 3.567 3.567
3.567 0.000 3.567
3.567 3.567 0.000
Ca Ga Pt
2 1 1
Direct
0.250 0.250 0.250
0.750 0.750 0.750
0.000 0.000 0.000
0.500 0.500 0.500